A plane-wave DFT calculation with PBE was carried out for a relaxed structure of Dy7Ho2Tl2.

Results
Energy of formation from the pure elements ... -22 kJ/mol of formula units

Unit cell a=3.637 b=19.770 c=9.650 alpha=90.00 beta=90.00 gamma=90.00
Space group Imm2 (No. 44)
Symmetry-distinct sites (fractional):
Dy 0.000 0.000 0.000 (multiplicity 2)
Dy 0.000 0.132 0.532 (multiplicity 4)
Dy 0.000 0.340 0.341 (multiplicity 4)
Dy 0.000 0.367 0.712 (multiplicity 4)
Ho 0.000 0.000 0.348 (multiplicity 2)
Ho 0.000 0.500 0.176 (multiplicity 2)
Tl 0.000 0.243 0.053 (multiplicity 4)